No. 1
First-principles (PBE) data for a relaxed structure of IrRu2Pt, as listed in Alexandria.

```
data_IrRu2Pt
_symmetry_space_group_name_H-M 'C 1 m 1'
_symmetry_Int_Tables_number 8
_cell_length_a 9.097
_cell_length_b 2.723
_cell_length_c 4.743
_cell_angle_alpha 90.00
_cell_angle_beta 99.80
_cell_angle_gamma 90.00
loop_
_symmetry_equiv_pos_as_xyz
'x,y,z'
'x,-y,z'
'x+1/2,y+1/2,z'
'x+1/2,-y+1/2,z'
loop_
_atom_site_label
_atom_site_fract_x
_atom_site_fract_y
_atom_site_fract_z
Ir1 0.000 0.000 0.000
Ru1 0.246 0.500 0.241
Ru2 0.492 0.000 0.481
Pt1 0.246 0.000 0.738
```

Calculated values
ΔH_f (0 K) = 18 meV per atom
Fermi-level density of states = 8.650 states/eV/cell

=====

No. 2
First-principles (PBE) data for a relaxed structure of Ir2Ru4Pt, as listed in Alexandria.

```
data_Ir2Ru4Pt
_symmetry_space_group_name_H-M 'I 4/m c m'
_symmetry_Int_Tables_number 140
_symmetry_space_group_name_Hall '-I 4 2c'
_cell_length_a 7.454
_cell_length_b 7.454
_cell_length_c 8.180
_cell_angle_alpha 90.00
_cell_angle_beta 90.00
_cell_angle_gamma 90.00
loop_
_atom_site_label
_atom_site_fract_x
_atom_site_fract_y
_atom_site_fract_z
Ir1 0.144 0.356 0.000
Ru1 0.150 0.350 0.330
Pt1 0.000 0.000 0.250
```

Calculated values
ΔH_f (0 K) = 462 meV per atom
Fermi-level density of states = 36.622 states/eV/cell

=====

No. 3
First-principles (PBE) data for a relaxed structure of IrRu2Pt, as listed in Alexandria.

```
data_IrRu2Pt
_symmetry_space_group_name_H-M 'P 4 m m'
_symmetry_Int_Tables_number 99
_cell_length_a 3.319
_cell_length_b 3.319
_cell_length_c 5.431
_cell_angle_alpha 90.00
_cell_angle_beta 90.00
_cell_angle_gamma 90.00
loop_
_symmetry_equiv_pos_as_xyz
'x,y,z'
'-y,x,z'
'-x,-y,z'
'y,-x,z'
'-x,y,z'
'y,x,z'
'x,-y,z'
'-y,-x,z'
loop_
_atom_site_label
_atom_site_fract_x
_atom_site_fract_y
_atom_site_fract_z
Ir1 0.000 0.000 0.000
Ru1 0.000 0.000 0.512
Ru2 0.500 0.500 0.756
Pt1 0.500 0.500 0.256
```

Calculated values
ΔH_f (0 K) = 328 meV per atom
Fermi-level density of states = 5.338 states/eV/cell